Density functional theory data (GGA-PBE) for a geometry-optimized ScAsPbBr2 structure.

* magnetization: 0.127 μB/atom
* polymorph energy (0 for the lowest one): 814.5 meV per atom
* final energy: -3.44 eV per atom

Lattice parameters (Å, degrees): 5.5956 5.5956 5.6245 90.00 90.00 90.00
With the nearest neighbours (Å) after each atom.
Fractional positions:
Sc: 0.0000 0.0000 0.0000  4 As 3.96, 8 Br 3.97
As: 0.5000 0.5000 0.0000  2 Pb 2.81
Pb: 0.5000 0.5000 0.5000  4 Br 2.80, 2 As 2.81
Br: 0.0000 0.5000 0.5000  2 Pb 2.80
Br: 0.5000 0.0000 0.5000  2 Pb 2.80

Density functional theory data (GGA-PBE) for a geometry-optimized AsPb6Se2Br3 structure.

* magnetization: 0.000 μB/atom
* final energy: -3.70 eV per atom

Lattice parameters (Å, degrees): 7.5569 7.5569 7.5698 98.93 98.93 113.10
With the nearest neighbours (Å) after each atom.
Fractional positions:
As: 0.0000 0.0000 0.0000  6 Pb 2.97-2.98
Pb: 0.0739 0.3976 0.2149  1 As 2.98, 2 Se 3.08, 2 Br 3.30-3.32
Pb: 0.2464 0.2464 0.7825  1 As 2.97, 2 Se 3.09, 2 Br 3.28
Pb: 0.3976 0.0739 0.2149  1 As 2.98, 2 Se 3.08, 2 Br 3.30-3.32
Pb: 0.6024 0.9261 0.7851  1 As 2.98, 2 Se 3.08, 2 Br 3.30-3.32
Pb: 0.7536 0.7536 0.2175  1 As 2.97, 2 Se 3.09, 2 Br 3.28
Pb: 0.9261 0.6024 0.7851  1 As 2.98, 2 Se 3.08, 2 Br 3.30-3.32
Se: 0.3353 0.6647 0.0000  6 Pb 3.08-3.09
Se: 0.6647 0.3353 0.0000  6 Pb 3.08-3.09
Br: 0.1670 0.8330 0.5000  6 Pb 3.28-3.39
Br: 0.5000 0.5000 0.5000  6 Pb 3.32-3.40
Br: 0.8330 0.1670 0.5000  6 Pb 3.28-3.39

Density functional theory data (GGA-PBE) for a geometry-optimized SnAs2PbBr structure.

* magnetization: 0.000 μB/atom
* polymorph energy (0 for the lowest one): 0.0 meV per atom
* final energy: -3.38 eV per atom

Lattice parameters (Å, degrees): 5.2969 5.2969 5.5260 90.00 90.00 90.00
With the nearest neighbours (Å) after each atom.
Fractional positions:
Sn: 0.0000 0.0000 0.0000  4 As 2.65, 2 Br 2.76
As: 0.0000 0.5000 0.0000  2 Sn 2.65
As: 0.5000 0.0000 0.0000  2 Sn 2.65
Pb: 0.5000 0.5000 0.5000  4 Br 3.75, 8 As 3.83
Br: 0.0000 0.0000 0.5000  2 Sn 2.76

Density functional theory data (GGA-PBE) for a geometry-optimized TaAsPbBr2 structure.

* magnetization: 0.031 μB/atom
* polymorph energy (0 for the lowest one): 0.0 meV per atom
* final energy: -4.64 eV per atom

Lattice parameters (Å, degrees): 5.1466 5.1466 5.1619 90.00 90.00 90.00
With the nearest neighbours (Å) after each atom.
Fractional positions:
Ta: 0.0000 0.0000 0.0000  4 Br 2.57, 2 As 2.58
As: 0.0000 0.0000 0.5000  2 Ta 2.58
Pb: 0.5000 0.5000 0.5000  4 As 3.64, 8 Br 3.64
Br: 0.0000 0.5000 0.0000  2 Ta 2.57
Br: 0.5000 0.0000 0.0000  2 Ta 2.57

Density functional theory data (GGA-PBE) for a geometry-optimized TaAsPbBr2 structure.

* magnetization: 0.504 μB/atom
* polymorph energy (0 for the lowest one): 1138.5 meV per atom
* final energy: -3.50 eV per atom

Lattice parameters (Å, degrees): 5.5536 5.5536 5.6452 90.00 90.00 90.00
With the nearest neighbours (Å) after each atom.
Fractional positions:
Ta: 0.0000 0.0000 0.0000  4 As 3.93, 8 Br 3.96
As: 0.5000 0.5000 0.0000  2 Pb 2.82
Pb: 0.5000 0.5000 0.5000  4 Br 2.78, 2 As 2.82
Br: 0.0000 0.5000 0.5000  2 Pb 2.78
Br: 0.5000 0.0000 0.5000  2 Pb 2.78

Density functional theory data (GGA-PBE) for a geometry-optimized TcAs2PbBr structure.

* magnetization: 0.000 μB/atom
* polymorph energy (0 for the lowest one): 0.0 meV per atom
* final energy: -4.79 eV per atom

Lattice parameters (Å, degrees): 4.7881 4.7881 5.5038 90.00 90.00 90.00
With the nearest neighbours (Å) after each atom.
Fractional positions:
Tc: 0.0000 0.0000 0.0000  4 As 2.39
As: 0.0000 0.5000 0.0000  2 Tc 2.39
As: 0.5000 0.0000 0.0000  2 Tc 2.39
Pb: 0.5000 0.5000 0.5000  4 Br 3.39, 8 As 3.65
Br: 0.0000 0.0000 0.5000  2 Tc 2.75

Density functional theory data (GGA-PBE) for a geometry-optimized Te3AsPb6Br2 structure.

* magnetization: 0.000 μB/atom
* final energy: -3.70 eV per atom

Lattice parameters (Å, degrees): 7.8182 7.8182 8.0510 99.00 99.00 118.97
With the nearest neighbours (Å) after each atom.
Fractional positions:
Te: 0.0000 0.0000 0.0000  6 Pb 3.19-3.42
Te: 0.3297 0.6703 0.0000  6 Pb 3.19-3.48
Te: 0.6703 0.3297 0.0000  6 Pb 3.19-3.48
As: 0.5000 0.5000 0.5000  6 Pb 2.99-3.05
Pb: 0.1201 0.4175 0.2596  1 As 2.99, 2 Te 3.19, 1 Br 3.30
Pb: 0.2805 0.2805 0.7512  1 As 3.05, 2 Te 3.19, 2 Br 3.35
Pb: 0.4175 0.1201 0.2596  1 As 2.99, 2 Te 3.19, 1 Br 3.30
Pb: 0.5825 0.8799 0.7404  1 As 2.99, 2 Te 3.19, 1 Br 3.30
Pb: 0.7195 0.7195 0.2488  1 As 3.05, 2 Te 3.19, 2 Br 3.35
Pb: 0.8799 0.5825 0.7404  1 As 2.99, 2 Te 3.19, 1 Br 3.30
Br: 0.1649 0.8351 0.5000  6 Pb 3.30-3.35
Br: 0.8351 0.1649 0.5000  6 Pb 3.30-3.35

Density functional theory data (GGA-PBE) for a geometry-optimized Ti2AsPbBr structure.

* magnetization: 0.218 μB/atom
* final energy: -4.43 eV per atom

Lattice parameters (Å, degrees): 4.7108 4.7108 5.7875 90.00 90.00 90.00
With the nearest neighbours (Å) after each atom.
Fractional positions:
Ti: 0.0000 0.5000 0.0000  2 Br 2.36
Ti: 0.5000 0.0000 0.0000  2 Br 2.36
As: 0.0000 0.0000 0.5000  4 Pb 3.33
Pb: 0.5000 0.5000 0.5000  2 Br 2.89
Br: 0.5000 0.5000 0.0000  4 Ti 2.36

What is the magnetization in the seventh record?
0.000 μB/atom

Copy entry 4 word for word.
Density functional theory data (GGA-PBE) for a geometry-optimized TaAsPbBr2 structure.

* magnetization: 0.031 μB/atom
* polymorph energy (0 for the lowest one): 0.0 meV per atom
* final energy: -4.64 eV per atom

Lattice parameters (Å, degrees): 5.1466 5.1466 5.1619 90.00 90.00 90.00
With the nearest neighbours (Å) after each atom.
Fractional positions:
Ta: 0.0000 0.0000 0.0000  4 Br 2.57, 2 As 2.58
As: 0.0000 0.0000 0.5000  2 Ta 2.58
Pb: 0.5000 0.5000 0.5000  4 As 3.64, 8 Br 3.64
Br: 0.0000 0.5000 0.0000  2 Ta 2.57
Br: 0.5000 0.0000 0.0000  2 Ta 2.57

What did the third record say?
Density functional theory data (GGA-PBE) for a geometry-optimized SnAs2PbBr structure.

* magnetization: 0.000 μB/atom
* polymorph energy (0 for the lowest one): 0.0 meV per atom
* final energy: -3.38 eV per atom

Lattice parameters (Å, degrees): 5.2969 5.2969 5.5260 90.00 90.00 90.00
With the nearest neighbours (Å) after each atom.
Fractional positions:
Sn: 0.0000 0.0000 0.0000  4 As 2.65, 2 Br 2.76
As: 0.0000 0.5000 0.0000  2 Sn 2.65
As: 0.5000 0.0000 0.0000  2 Sn 2.65
Pb: 0.5000 0.5000 0.5000  4 Br 3.75, 8 As 3.83
Br: 0.0000 0.0000 0.5000  2 Sn 2.76